DFT (PBE) results for an optimized crystal structure of OsAu3.

Summary:
D(E_F) = 0.770 states/eV per atom
symmetry = No. 65
energy = -4.83 eV/atom

Structure (extended XYZ):
```
4
Lattice="-1.6928 -2.2307 0.3001 1.5578 0.9007 2.1665 -7.5102 6.0854 2.8704" Properties=species:S:1:pos:R:3 pbc="T T T"
Os -1.9450 0.8563 1.9509
Au -3.7001 2.9982 1.4142
Au -5.7001 3.8991 3.3861
Au -0.0550 0.0445 0.0210
```

***

DFT (PBE) results for an optimized crystal structure of OsAu2.

Summary:
D(E_F) = 0.668 states/eV per atom
symmetry = No. 12
energy = -5.51 eV/atom

Structure (extended XYZ):
```
6
Lattice="-0.8211 -4.6966 1.1033 -0.1317 -4.6095 -1.6386 6.9217 -4.3669 1.6015" Properties=species:S:1:pos:R:3 pbc="T T T"
Au 4.2250 -12.5055 0.6648
Au 1.7439 -1.1675 0.4014
Au 0.3580 -3.5007 -0.0212
Au 5.6109 -10.1722 1.0874
Os 3.5536 -5.5824 0.7160
Os 2.4153 -8.0905 0.3502
```

***

| no. | V (Å³ per cell) |
| --- | --- |
| 1 | 69.1 |
| 2 | 100.0 |